Entry 1:
## La4HgBiN (PBE)

Data for an optimized crystal structure of La4HgBiN.

Lattice parameters (Å, degrees): 6.9858 6.9743 9.4100 90.00 111.79 90.00
Atoms (fractional coordinates):
La  0.0000  0.0000  0.5000
La  0.5000  0.5000  0.5000
N  0.7208  0.2500  0.4416
N  0.2792  0.7500  0.5584
Hg  0.8853  0.7500  0.7706
Bi  0.3916  0.2500  0.7832
La  0.0647  0.7500  0.1294
La  0.9353  0.2500  0.8706
Bi  0.6084  0.7500  0.2168
Hg  0.1147  0.2500  0.2294
La  0.0000  0.5000  0.5000
La  0.4132  0.7500  0.8264
La  0.5868  0.2500  0.1736
La  0.5000  0.0000  0.5000

magnetic moment = 0.00 μB per formula unit
energy = -5.44 eV/atom
energy relative to the elements, uncorrected = -0.84 eV per atom



Entry 2:
## Er4Ni2Bi (PBE)

Data for an optimized crystal structure of Er4Ni2Bi.

Lattice parameters (Å, degrees): 8.5371 8.5366 6.8351 108.12 108.13 120.50
Atoms (fractional coordinates):
Er  0.3536  0.0230  0.2165
Er  0.5112  0.7685  0.9442
Er  0.0184  0.2612  0.4442
Ni  0.4791  0.3952  0.6145
Bi  0.9393  0.9662  0.9143
Er  0.4289  0.5112  0.2759
Ni  0.8074  0.8946  0.4423
Er  0.8677  0.5541  0.5922
Er  0.7613  0.1790  0.7760
Er  0.8040  0.6177  0.0922
Ni  0.6454  0.2290  0.1146
Ni  0.1447  0.5574  0.9422
Er  0.2730  0.1035  0.7166
Bi  0.2161  0.6892  0.4142

formation enthalpy at 0 K = -0.42 eV per atom
magnetic moment = 0.00 μB per formula unit
energy = -5.23 eV/atom



Entry 3:
## AgOsSO2 (PBE)

Data for an optimized crystal structure of AgOsSO2.

Lattice parameters (Å, degrees): 3.7743 6.0162 3.7743 90.00 90.00 90.00
Site moments in Bohr magnetons follow the coordinates.
Atoms (fractional coordinates):
O  0.0000  0.0000  0.5000  0.30
Ag  0.0000  0.0000  0.0000  0.17
S  0.5000  0.5000  0.5000  0.18
Os  0.0000  0.5000  0.0000  2.25
O  0.5000  0.0000  0.0000  0.61

magnetic moment = 3.97 μB per formula unit
energy = -4.31 eV/atom
energy relative to the elements, uncorrected = 1.32 eV per atom



Entry 4:
## Nb3Te6Pd (PBE)

Data for an optimized crystal structure of Nb3Te6Pd.

Lattice parameters (Å, degrees): 6.6924 8.8557 8.8557 102.81 90.00 90.00
Site moments in Bohr magnetons follow the coordinates.
Atoms (fractional coordinates):
Te  0.6517  0.2996  0.3531  -0.03
Nb  0.3584  0.4022  0.5978  0.48
Nb  0.9548  0.0300  0.2625  0.09
Pd  0.1048  0.2107  0.7893  0.01
Nb  0.8584  0.5978  0.4022  0.48
Te  0.7385  0.5135  0.0925  -0.01
Te  0.2385  0.0925  0.5135  -0.01
Te  0.6517  0.6469  0.7004  -0.03
Pd  0.6048  0.7893  0.2107  0.01
Te  0.1717  0.7549  0.2451  -0.01
Nb  0.4548  0.2625  0.0300  0.09
Te  0.1605  0.0225  0.9775  -0.01
Te  0.7385  0.9075  0.4865  -0.01
Te  0.1517  0.7004  0.6469  -0.03
Te  0.1517  0.3531  0.2996  -0.03
Nb  0.4548  0.9700  0.7375  0.09
Te  0.2385  0.4865  0.9075  -0.01
Nb  0.9548  0.7375  0.9700  0.09
Te  0.6717  0.2451  0.7549  -0.01
Te  0.6605  0.9775  0.0225  -0.01

magnetic moment = 0.73 μB per formula unit
energy = -5.63 eV/atom
energy relative to the elements, uncorrected = -0.21 eV per atom



Entry 5:
## LaGaSiSb2 (PBE)

Data for an optimized crystal structure of LaGaSiSb2.

Lattice parameters (Å, degrees): 5.1753 5.7174 5.1753 90.00 90.00 90.00
Atoms (fractional coordinates):
La  0.0000  0.5000  0.0000
Sb  0.5000  0.0000  0.0000
Ga  0.0000  0.0000  0.0000
Sb  0.0000  0.0000  0.5000
Si  0.5000  0.5000  0.5000

magnetic moment = 0.00 μB per formula unit
energy = -3.94 eV/atom
energy relative to the elements, uncorrected = 0.39 eV per atom



Entry 6:
## DyNiGe2 (PBE)

Data for an optimized crystal structure of DyNiGe2.

Lattice parameters (Å, degrees): 4.1284 6.8069 10.2589 90.00 90.00 90.00
Atoms (fractional coordinates):
Ni  0.7500  0.9900  0.3625
Ge  0.2500  0.3415  0.0655
Ge  0.7500  0.1585  0.5655
Ge  0.2500  0.3623  0.6613
Ni  0.7500  0.4900  0.1375
Ge  0.2500  0.8623  0.8387
Ni  0.2500  0.0100  0.6375
Ge  0.7500  0.6377  0.3387
Dy  0.7500  0.6795  0.6323
Dy  0.2500  0.3205  0.3677
Ge  0.7500  0.6585  0.9345
Ni  0.2500  0.5100  0.8625
Ge  0.2500  0.8415  0.4345
Dy  0.7500  0.1795  0.8677
Ge  0.7500  0.1377  0.1613
Dy  0.2500  0.8205  0.1323

formation enthalpy at 0 K = -0.68 eV per atom
magnetic moment = 0.00 μB per formula unit
energy = -5.59 eV/atom



Entry 7:
## Pr4CoHBr2 (PBE)

Data for an optimized crystal structure of Pr4CoHBr2.

Lattice parameters (Å, degrees): 3.9809 6.7477 8.0572 106.03 90.00 90.00
Atoms (fractional coordinates):
Pr  0.0000  0.2596  0.8078
Pr  0.5000  0.7656  0.8042
Pr  0.0000  0.7404  0.1922
H  0.0000  0.0000  0.0000
Br  0.0000  0.5000  0.5000
Co  0.5000  0.5000  0.0000
Pr  0.5000  0.2344  0.1958
Br  0.5000  0.0000  0.5000

magnetic moment = 0.01 μB per formula unit
energy = -4.84 eV/atom